Entry from the Alexandria database: a crystal of MgZn2P relaxed with PBEsol (SCAN).

Output
* spin magnetization: 0.00 μB per atom
* formation energy from the elements: 0.1866 eV/atom

Geometry as POSCAR:
```
MgZn2P
1.0
2.9394 -0.0124 0.0000
-0.6088 2.8757 0.0000
0.0000 0.0000 7.7554
P Mg Zn
1 1 2
direct
0.5000 0.5000 0.0000
0.5000 0.5000 0.5000
0.0000 0.0000 0.7698
0.0000 0.0000 0.2302
```

---

Entry from the Alexandria database: a crystal of FeRuPt2 relaxed with PBEsol (SCAN).

Output
* spin magnetization: 0.92 μB per atom
* formation energy from the elements: -0.0302 eV/atom

Geometry as POSCAR:
```
FeRuPt2
1.0
3.2064 0.0000 0.0000
0.0000 3.2064 0.0000
0.0000 0.0000 5.4275
Ru Pt Fe
1 2 1
direct
0.0000 0.0000 0.5064
0.5000 0.5000 0.2571
0.0000 0.0000 0.9882
0.5000 0.5000 0.7482
```

---

Entry from the Alexandria database: a crystal of TlAg2Sb relaxed with PBEsol (SCAN).

Output
* spin magnetization: 0.00 μB per atom
* E_tot: -3.1573 Ry/atom

Geometry as POSCAR:
```
TlAg2Sb
1.0
-1.7994 -1.8070 -2.1554
2.9951 -2.8122 2.4435
-4.6456 0.1925 3.7171
Ag Tl Sb
2 1 1
direct
0.2517 0.5034 0.2565
0.7483 0.4966 0.7435
0.5000 0.0000 0.0000
0.0000 0.0000 0.5000
```

---

Entry from the Alexandria database: a crystal of Nd2Mo2O7 relaxed with PBEsol (SCAN).

Output
* spin magnetization: 0.36 μB per atom
* E_tot: -1.5495 Ry/atom

Geometry as POSCAR:
```
Nd2Mo2O7
1.0
-1.1345 -7.2740 -0.2360
0.4524 -4.0000 6.1684
-6.0914 -2.8759 2.9795
O Mo Nd
14 4 4
direct
0.0435 0.4565 0.4565
0.2065 0.7935 0.7935
0.4565 0.0435 0.4565
0.7935 0.7935 0.2065
0.4565 0.4565 0.0435
0.5000 0.5000 0.5000
0.0435 0.4565 0.0435
0.7935 0.2065 0.2065
0.7935 0.2065 0.7935
0.0435 0.0435 0.4565
0.2065 0.7935 0.2065
0.4565 0.0435 0.0435
0.7500 0.7500 0.7500
0.2065 0.2065 0.7935
0.1250 0.6250 0.1250
0.1250 0.1250 0.6250
0.6250 0.1250 0.1250
0.1250 0.1250 0.1250
0.6250 0.6250 0.1250
0.1250 0.6250 0.6250
0.6250 0.1250 0.6250
0.6250 0.6250 0.6250
```

---

Entry from the Alexandria database: a crystal of IrPb2Se relaxed with PBEsol (SCAN).

Output
* spin magnetization: 0.00 μB per atom
* E_tot: -4.4141 Ry/atom

Geometry as POSCAR:
```
IrPb2Se
1.0
4.7500 0.0000 0.0000
0.0000 4.7500 0.0000
-2.3750 -2.3750 3.8256
Pb Se Ir
2 1 1
direct
0.0000 0.0000 0.0000
0.7500 0.2500 0.5000
0.5000 0.5000 0.0000
0.2500 0.7500 0.5000
```

---

Entry from the Alexandria database: a crystal of MgZr2Se relaxed with PBEsol (SCAN).

Output
* spin magnetization: 0.00 μB per atom
* E_tot: -1.6249 Ry/atom

Geometry as POSCAR:
```
MgZr2Se
1.0
3.4180 0.0000 0.0000
0.0000 3.4180 0.0000
0.0000 0.0000 7.6724
Zr Se Mg
2 1 1
direct
0.0000 0.0000 0.9642
0.5000 0.5000 0.2246
0.5000 0.5000 0.8107
0.0000 0.0000 0.5005
```